[1]
{
  "formula": "PmSc2Rh9",
  "functional": "GGA-PBE",
  "state": "relaxed",
  "crystal_system": "trigonal",
  "total_energy_ev_per_atom": -7.489,
  "dos_ef_per_ev_cell": 14.47,
  "formation_energy_ev_per_atom": -0.52,
  "lattice_angstrom": [[4.997, 0.000, 1.487], [2.277, 4.448, 1.487], [-0.003, -0.002, 9.148]],
  "species": ["Pm", "Sc", "Sc", "Rh", "Rh", "Rh", "Rh", "Rh", "Rh", "Rh", "Rh", "Rh"],
  "frac_coords": [[0.000, 0.000, 0.000], [0.860, 0.860, 0.421], [0.140, 0.140, 0.579], [0.666, 0.666, 0.001], [0.334, 0.334, 0.999], [0.500, 0.500, 0.500], [0.414, 0.414, 0.255], [0.918, 0.414, 0.255], [0.414, 0.918, 0.255], [0.586, 0.586, 0.745], [0.586, 0.082, 0.745], [0.082, 0.586, 0.745]]
}

=====

[2]
{
  "formula": "PmSc5Rh4",
  "functional": "GGA-PBE",
  "state": "relaxed",
  "crystal_system": "tetragonal",
  "total_energy_ev_per_atom": -7.389,
  "dos_ef_per_ev_cell": 5.59,
  "formation_energy_ev_per_atom": -0.81,
  "lattice_angstrom": [[-2.983, 1.049, 0.708], [-1.035, -3.065, 0.182], [4.105, -0.329, 17.782]],
  "species": ["Pm", "Sc", "Sc", "Sc", "Sc", "Sc", "Rh", "Rh", "Rh", "Rh"],
  "frac_coords": [[0.000, 0.000, 0.000], [0.500, 0.500, 0.148], [0.500, 0.500, 0.323], [0.500, 0.500, 0.500], [0.500, 0.500, 0.677], [0.500, 0.500, 0.852], [0.000, 0.000, 0.232], [0.000, 0.000, 0.411], [0.000, 0.000, 0.589], [0.000, 0.000, 0.768]]
}

=====

[3]
{
  "formula": "Pm2ScRh2",
  "functional": "GGA-PBE",
  "state": "relaxed",
  "crystal_system": "orthorhombic",
  "total_energy_ev_per_atom": -6.722,
  "dos_ef_per_ev_cell": 6.70,
  "formation_energy_ev_per_atom": -0.61,
  "lattice_angstrom": [[-0.356, 5.555, 2.267], [-7.346, -1.193, 1.770], [5.307, -4.042, 2.770]],
  "species": ["Pm", "Pm", "Pm", "Pm", "Sc", "Sc", "Rh", "Rh", "Rh", "Rh"],
  "frac_coords": [[0.837, 0.699, 0.674], [0.163, 0.301, 0.326], [0.663, 0.025, 0.326], [0.337, 0.975, 0.674], [0.750, 0.500, 0.000], [0.250, 0.500, 0.000], [0.411, 0.669, 0.822], [0.589, 0.331, 0.178], [0.089, 0.846, 0.178], [0.911, 0.154, 0.822]]
}

=====

[4]
{
  "formula": "Pm2ScRh",
  "functional": "GGA-PBE",
  "state": "relaxed",
  "crystal_system": "tetragonal",
  "total_energy_ev_per_atom": -6.059,
  "dos_ef_per_ev_cell": 5.26,
  "formation_energy_ev_per_atom": -0.26,
  "lattice_angstrom": [[3.608, 0.000, 0.000], [0.000, 3.608, 0.000], [0.000, 0.000, 7.986]],
  "species": ["Sc", "Rh", "Pm", "Pm"],
  "frac_coords": [[0.500, 0.500, 0.500], [0.500, 0.500, 0.000], [0.000, 0.000, 0.793], [0.000, 0.000, 0.207]]
}

=====

[5]
{
  "formula": "Pm2ScRh2",
  "functional": "GGA-PBE",
  "state": "relaxed",
  "crystal_system": "monoclinic",
  "total_energy_ev_per_atom": -6.802,
  "dos_ef_per_ev_cell": 7.34,
  "formation_energy_ev_per_atom": -0.69,
  "lattice_angstrom": [[-1.187, 3.218, -2.060], [-3.422, -2.034, -5.090], [-8.203, 2.478, 4.712]],
  "species": ["Pm", "Pm", "Pm", "Pm", "Sc", "Sc", "Rh", "Rh", "Rh", "Rh"],
  "frac_coords": [[0.571, 0.762, 0.095], [0.841, 0.628, 0.690], [0.429, 0.238, 0.905], [0.159, 0.372, 0.310], [0.837, 0.952, 0.374], [0.163, 0.048, 0.626], [0.132, 0.863, 0.873], [0.438, 0.697, 0.428], [0.868, 0.137, 0.127], [0.562, 0.303, 0.572]]
}

=====

[6]
{
  "formula": "Pm12ScRh7",
  "functional": "GGA-PBE",
  "state": "relaxed",
  "crystal_system": "trigonal",
  "total_energy_ev_per_atom": -6.258,
  "dos_ef_per_ev_cell": 16.09,
  "formation_energy_ev_per_atom": -0.52,
  "lattice_angstrom": [[-5.047, -3.157, -6.861], [8.452, -3.278, -0.581], [-3.718, -2.355, 7.946]],
  "species": ["Pm", "Pm", "Pm", "Pm", "Pm", "Pm", "Pm", "Pm", "Pm", "Pm", "Pm", "Pm", "Sc", "Rh", "Rh", "Rh", "Rh", "Rh", "Rh", "Rh"],
  "frac_coords": [[0.889, 0.338, 0.743], [0.662, 0.257, 0.111], [0.412, 0.122, 0.331], [0.878, 0.669, 0.588], [0.257, 0.111, 0.662], [0.669, 0.588, 0.878], [0.331, 0.412, 0.122], [0.743, 0.889, 0.338], [0.122, 0.331, 0.412], [0.588, 0.878, 0.669], [0.338, 0.743, 0.889], [0.111, 0.662, 0.257], [0.000, 0.000, 0.000], [0.049, 0.718, 0.956], [0.282, 0.044, 0.951], [0.044, 0.951, 0.282], [0.500, 0.500, 0.500], [0.956, 0.049, 0.718], [0.718, 0.956, 0.049], [0.951, 0.282, 0.044]]
}